Entry from Alexandria: crystalline Sc2TiCo2 at its relaxed geometry (PBEsol).

Unit cell a=4.1792 b=6.1559 c=6.1559 alpha=90.00 beta=90.00 gamma=90.00
Closest atoms and distances in Å follow each position.
Positions (direct):
Sc 0.5000 0.1786 0.6786  6 Co 2.69-2.83
Sc 0.5000 0.6786 0.8214  6 Co 2.69-2.83
Sc 0.5000 0.8214 0.3214  6 Co 2.69-2.83
Sc 0.5000 0.3214 0.1786  6 Co 2.69-2.83
Co 0.0000 0.3739 0.8739  1 Co 2.20, 2 Ti 2.43
Co 0.0000 0.8739 0.6261  1 Co 2.20, 2 Ti 2.43
Co 0.0000 0.6261 0.1261  1 Co 2.20, 2 Ti 2.43
Co 0.0000 0.1261 0.3739  1 Co 2.20, 2 Ti 2.43
Ti 0.0000 0.0000 0.0000  4 Co 2.43
Ti 0.0000 0.5000 0.5000  4 Co 2.43

Symmetry = P4/mbm (127)
Volume = 79 Å³/f.u.
D(E_F) = 9.938 states/eV per cell
Raw total energy = -7.6700 eV/atom
Energy of formation from the pure elements = -268.6 meV/atom


Entry from Alexandria: crystalline ZnHg2Br at its relaxed geometry (PBEsol).

Unit cell a=3.4851 b=3.4352 c=8.0798 alpha=90.10 beta=90.00 gamma=90.00
Closest atoms and distances in Å follow each position.
Positions (direct):
Br 0.5000 0.3734 0.7049  2 Zn 2.53
Hg 0.0000 0.8805 0.0058  2 Hg 3.02
Hg 0.5000 0.8723 0.3106  4 Zn 2.80, 2 Hg 3.02
Zn 0.0000 0.3738 0.4787  2 Br 2.53, 4 Hg 2.80

Symmetry = Pm (6)
Volume = 97 Å³/f.u.
D(E_F) = 0.712 states/eV per cell
Raw total energy = -1.2718 eV/atom
Formation energy (no corrections) = -0.1254 eV per atom


Entry from Alexandria: crystalline AgRhF2 at its relaxed geometry (PBEsol).

Unit cell a=2.8373 b=2.8373 c=8.1908 alpha=80.03 beta=80.03 gamma=60.00
Closest atoms and distances in Å follow each position.
Positions (direct):
Rh 0.5000 0.5000 0.5000  6 F 2.26
Ag 0.0000 0.0000 0.0000  2 F 2.46
F 0.8979 0.8979 0.3064  3 Rh 2.26, 1 Ag 2.46
F 0.1021 0.1021 0.6936  3 Rh 2.26, 1 Ag 2.46

Symmetry = R-3m (166)
Volume = 56 Å³/f.u.
D(E_F) = 1.126 states/eV per cell
Raw total energy = -4.2854 eV/atom
Formation energy (no corrections) = -0.4593 eV per atom


Entry from Alexandria: crystalline Fe3BiPd at its relaxed geometry (PBEsol).

Unit cell a=4.5975 b=4.5975 c=4.5975 alpha=90.00 beta=90.00 gamma=90.00
Closest atoms and distances in Å follow each position.
Positions (direct):
Bi 0.5000 0.5000 0.5000  12 Fe 3.25
Pd 0.0000 0.0000 0.0000  6 Fe 2.30
Fe 0.0000 0.5000 0.0000  2 Pd 2.30
Fe 0.0000 0.0000 0.5000  2 Pd 2.30
Fe 0.5000 0.0000 0.0000  2 Pd 2.30

Symmetry = Pm-3m (221)
Volume = 97 Å³/f.u.
D(E_F) = 5.911 states/eV per cell
Raw total energy = -6.3311 eV/atom
Energy of formation from the pure elements = 1095.8 meV/atom


Entry from Alexandria: crystalline BeCu2Au at its relaxed geometry (PBEsol).

Unit cell a=3.5405 b=3.5405 c=3.8517 alpha=90.00 beta=90.00 gamma=90.00
Closest atoms and distances in Å follow each position.
Positions (direct):
Be 0.0000 0.0000 0.5000  4 Au 2.50, 8 Cu 2.62
Au 0.5000 0.5000 0.5000  4 Be 2.50, 8 Cu 2.62
Cu 0.0000 0.5000 0.0000  4 Cu 2.50, 4 Be 2.62, 4 Au 2.62
Cu 0.5000 0.0000 0.0000  4 Cu 2.50, 4 Be 2.62, 4 Au 2.62

Symmetry = P4/mmm (123)
Volume = 48 Å³/f.u.
D(E_F) = 1.282 states/eV per cell
Raw total energy = -4.2077 eV/atom
Energy of formation from the pure elements = -59.6 meV/atom


Entry from Alexandria: crystalline TbB12 at its relaxed geometry (PBEsol).

Unit cell a=5.2797 b=5.2797 c=5.2797 alpha=60.00 beta=60.00 gamma=60.00
Closest atoms and distances in Å follow each position.
Positions (direct):
B 0.1625 0.8375 0.5000  5 B 1.72-1.78
B 0.5000 0.8375 0.5000  5 B 1.72-1.78
B 0.5000 0.8375 0.1625  5 B 1.72-1.78
B 0.5000 0.5000 0.8375  5 B 1.72-1.78
B 0.1625 0.5000 0.8375  5 B 1.72-1.78
B 0.5000 0.1625 0.8375  5 B 1.72-1.78
B 0.5000 0.5000 0.1625  5 B 1.72-1.78
B 0.5000 0.1625 0.5000  5 B 1.72-1.78
B 0.1625 0.5000 0.5000  5 B 1.72-1.78
B 0.8375 0.1625 0.5000  5 B 1.72-1.78
B 0.8375 0.5000 0.1625  5 B 1.72-1.78
B 0.8375 0.5000 0.5000  5 B 1.72-1.78
Tb 0.0000 0.0000 0.0000  24 B 2.78

Symmetry = Fm-3m (225)
Volume = 104 Å³/f.u.
D(E_F) = 0.447 states/eV per cell
Raw total energy = -7.1447 eV/atom
Energy of formation from the pure elements = -282.7 meV/atom


Entry from Alexandria: crystalline Sr2TlCrOs at its relaxed geometry (PBEsol).

Unit cell a=4.3450 b=5.8336 c=5.8336 alpha=90.00 beta=90.00 gamma=90.00
Closest atoms and distances in Å follow each position.
Positions (direct):
Sr 0.0000 0.0000 0.5000  2 Cr 2.92
Sr 0.0000 0.5000 0.0000  2 Cr 2.92
Tl 0.5000 0.5000 0.5000  8 Sr 3.64
Os 0.5000 0.0000 0.0000  2 Cr 2.17
Cr 0.0000 0.0000 0.0000  2 Os 2.17

Symmetry = P4/mmm (123)
Volume = 148 Å³/f.u.
D(E_F) = 4.948 states/eV per cell
Raw total energy = -4.9859 eV/atom
Energy of formation from the pure elements = 767.9 meV/atom


Entry from Alexandria: crystalline LiYZr2Ru at its relaxed geometry (PBEsol).

Unit cell a=4.6981 b=5.1445 c=5.1445 alpha=90.00 beta=90.00 gamma=90.00
Closest atoms and distances in Å follow each position.
Positions (direct):
Y 0.0000 0.0000 0.0000  2 Ru 2.35, 4 Zr 2.57
Ru 0.5000 0.0000 0.0000  2 Y 2.35
Zr 0.0000 0.0000 0.5000  2 Y 2.57
Zr 0.0000 0.5000 0.0000  2 Y 2.57
Li 0.5000 0.5000 0.5000  8 Zr 3.48, 4 Ru 3.64

Symmetry = P4/mmm (123)
Volume = 124 Å³/f.u.
D(E_F) = 5.757 states/eV per cell
Raw total energy = -5.9781 eV/atom
Energy of formation from the pure elements = 1450.0 meV/atom


Entry from Alexandria: crystalline CaZn2Cr at its relaxed geometry (PBEsol).

Unit cell a=3.2398 b=3.2375 c=6.7131 alpha=90.00 beta=90.02 gamma=90.00
Closest atoms and distances in Å follow each position.
Positions (direct):
Cr 0.5000 0.5000 0.5000  8 Zn 2.63
Zn 0.0000 0.0000 0.6936  1 Zn 2.60, 4 Cr 2.63
Zn 0.0000 0.0000 0.3064  1 Zn 2.60, 4 Cr 2.63
Ca 0.5000 0.5000 0.0000  8 Zn 3.08, 4 Ca 3.24, 2 Cr 3.36

Symmetry = P4/mmm (123)
Volume = 70 Å³/f.u.
D(E_F) = 2.421 states/eV per cell
Raw total energy = -3.7473 eV/atom
Energy of formation from the pure elements = 137.5 meV/atom


Entry from Alexandria: crystalline InTc2BiC at its relaxed geometry (PBEsol).

Unit cell a=4.1635 b=4.1635 c=4.8698 alpha=90.00 beta=90.00 gamma=90.00
Closest atoms and distances in Å follow each position.
Positions (direct):
Tc 0.0000 0.5000 0.0000  2 C 2.08
Tc 0.5000 0.0000 0.0000  2 C 2.08
C 0.0000 0.0000 0.0000  4 Tc 2.08
Bi 0.0000 0.0000 0.5000  2 C 2.43
In 0.5000 0.5000 0.5000  4 Bi 2.94, 8 Tc 3.20

Symmetry = P4/mmm (123)
Volume = 84 Å³/f.u.
D(E_F) = 5.257 states/eV per cell
Raw total energy = -7.0764 eV/atom
Energy of formation from the pure elements = 812.5 meV/atom


Entry from Alexandria: crystalline LiCaCu4 at its relaxed geometry (PBEsol).

Unit cell a=5.0044 b=5.0044 c=5.0044 alpha=60.00 beta=60.00 gamma=60.00
Closest atoms and distances in Å follow each position.
Positions (direct):
Ca 0.0000 0.0000 0.0000  12 Cu 2.94, 4 Li 3.06
Cu 0.3760 0.3760 0.3760  6 Cu 2.48-2.52
Cu 0.3760 0.3760 0.8720  6 Cu 2.48-2.52
Cu 0.8720 0.3760 0.3760  6 Cu 2.48-2.52
Cu 0.3760 0.8720 0.3760  6 Cu 2.48-2.52
Li 0.7500 0.7500 0.7500  12 Cu 2.93, 4 Ca 3.06

Symmetry = F-43m (216)
Volume = 89 Å³/f.u.
D(E_F) = 2.628 states/eV per cell
Raw total energy = -3.6630 eV/atom
Energy of formation from the pure elements = -90.3 meV/atom


Entry from Alexandria: crystalline SrLi4Pb at its relaxed geometry (PBEsol).

Unit cell a=5.7350 b=5.7350 c=5.7350 alpha=60.00 beta=60.00 gamma=60.00
Closest atoms and distances in Å follow each position.
Positions (direct):
Pb 0.7500 0.7500 0.7500  12 Li 3.36, 4 Sr 3.51
Sr 0.0000 0.0000 0.0000  12 Li 3.36, 4 Pb 3.51
Li 0.3755 0.3755 0.3755  6 Li 2.86-2.88
Li 0.3755 0.3755 0.8735  6 Li 2.86-2.88
Li 0.8735 0.3755 0.3755  6 Li 2.86-2.88
Li 0.3755 0.8735 0.3755  6 Li 2.86-2.88

Symmetry = F-43m (216)
Volume = 133 Å³/f.u.
D(E_F) = 1.768 states/eV per cell
Raw total energy = -2.5028 eV/atom
Energy of formation from the pure elements = -218.4 meV/atom


Entry from Alexandria: crystalline MgAl2Mo at its relaxed geometry (PBEsol).

Unit cell a=3.8700 b=3.8700 c=4.9711 alpha=112.91 beta=112.91 gamma=90.00
Closest atoms and distances in Å follow each position.
Positions (direct):
Mg 0.5000 0.5000 0.0000  4 Mo 2.74, 8 Al 2.84
Mo 0.0000 0.0000 0.0000  4 Mg 2.74, 8 Al 2.84
Al 0.7500 0.2500 0.5000  4 Al 2.74, 4 Mo 2.84, 4 Mg 2.84
Al 0.2500 0.7500 0.5000  4 Al 2.74, 4 Mo 2.84, 4 Mg 2.84

Symmetry = I4/mmm (139)
Volume = 62 Å³/f.u.
D(E_F) = 0.428 states/eV per cell
Raw total energy = -5.5549 eV/atom
Energy of formation from the pure elements = -137.8 meV/atom